# 1
Tb2NdY3Se6 | PBE | optimized geometry

a = 7.127 Å, b = 7.127 Å, c = 7.137 Å
α = 99.54°, β = 99.54°, γ = 120.27°
Sites, in units of the cell vectors:
Tb  0.166  0.834  0.000
Tb  0.834  0.166  0.000
Nd  0.500  0.500  0.000
Y  0.000  0.000  0.500
Y  0.339  0.661  0.500
Y  0.661  0.339  0.500
Se  0.073  0.415  0.744
Se  0.243  0.243  0.252
Se  0.415  0.073  0.744
Se  0.585  0.927  0.256
Se  0.757  0.757  0.748
Se  0.927  0.585  0.256

## Properties
**DOS(E_F)**: 5.5 states/eV/cell
**E_form (uncorrected)**: -1782 meV/atom

# 2
Tb2NdYSe4 | PBE | optimized geometry

a = 7.156 Å, b = 4.076 Å, c = 7.210 Å
α = 90.00°, β = 108.83°, γ = 90.00°
Sites, in units of the cell vectors:
Tb  0.000  0.000  0.000
Tb  0.000  0.500  0.500
Nd  0.500  0.000  0.500
Y  0.500  0.500  0.000
Se  0.242  0.500  0.242
Se  0.247  0.000  0.755
Se  0.753  0.000  0.245
Se  0.758  0.500  0.758

## Properties
**DOS(E_F)**: 4.9 states/eV/cell
**E_form (uncorrected)**: -1783 meV/atom

> Which of these has the lowest DOS(E_F)?

Tb2NdYSe4

> Which of these has the highest DOS(E_F)?

Tb2NdY3Se6

Repeat the first record exactly.
Tb2NdY3Se6 | PBE | optimized geometry

a = 7.127 Å, b = 7.127 Å, c = 7.137 Å
α = 99.54°, β = 99.54°, γ = 120.27°
Sites, in units of the cell vectors:
Tb  0.166  0.834  0.000
Tb  0.834  0.166  0.000
Nd  0.500  0.500  0.000
Y  0.000  0.000  0.500
Y  0.339  0.661  0.500
Y  0.661  0.339  0.500
Se  0.073  0.415  0.744
Se  0.243  0.243  0.252
Se  0.415  0.073  0.744
Se  0.585  0.927  0.256
Se  0.757  0.757  0.748
Se  0.927  0.585  0.256

## Properties
**DOS(E_F)**: 5.5 states/eV/cell
**E_form (uncorrected)**: -1782 meV/atom

> E_form (uncorrected) of number 2 (Tb2NdYSe4)?

-1783 meV/atom